(1)
Mn6OF11 | Alexandria | GGA+U | relaxed; symmetry = P1 (1)
1.0
4.911 0.000 0.000
0.111 5.900 0.000
0.122 0.304 8.222
Mn O F
6 1 11
Cartesian
0.000 0.000 0.000 Mn
0.122 2.152 5.466 Mn
0.199 3.939 2.669 Mn
2.401 2.993 0.116 Mn
2.436 1.169 2.705 Mn
2.695 5.052 5.405 Mn
1.439 2.827 1.950 O
1.088 2.018 7.360 F
1.083 3.904 4.519 F
1.098 5.611 1.948 F
1.702 4.995 7.324 F
1.649 0.916 4.649 F
3.391 1.184 0.810 F
3.545 3.355 6.353 F
3.718 5.196 3.473 F
4.076 2.393 3.522 F
4.086 0.395 6.265 F
4.091 4.129 0.915 F

---

(2)
Mn2OF3 | Alexandria | GGA+U | relaxed; symmetry = P1 (1)
1.0
4.821 0.000 0.000
0.131 5.839 0.000
0.356 2.489 13.202
Mn O F
10 5 15
Cartesian
0.000 0.000 0.000 Mn
0.164 2.020 5.215 Mn
2.483 3.281 7.767 Mn
2.693 7.256 10.644 Mn
2.579 5.017 5.291 Mn
2.417 2.889 0.038 Mn
2.648 0.932 2.686 Mn
4.898 6.253 8.131 Mn
4.815 4.100 2.650 Mn
5.019 4.321 10.572 Mn
1.220 2.574 11.521 O
1.697 3.464 6.069 O
3.512 6.485 4.453 O
3.975 6.104 9.887 O
4.028 5.758 1.723 O
1.137 4.456 8.632 F
0.979 4.185 0.733 F
1.240 6.231 6.175 F
1.148 2.115 3.366 F
1.693 7.452 8.754 F
1.778 5.562 11.394 F
1.629 5.009 3.569 F
1.505 1.117 0.927 F
3.416 3.131 9.593 F
3.389 2.773 1.905 F
3.562 4.996 7.034 F
3.786 7.157 12.444 F
3.949 2.095 7.092 F
3.950 3.752 4.541 F
4.256 4.118 12.560 F

---

| no. | total DFT energy (no corrections) (eV per atom) | polymorph energy (0 for the lowest one) (meV per atom) |
| --- | --- | --- |
| 1 | -6.37 | 88 |
| 2 | -6.41 | 164 |